Crystalline K2ZrCrAu at its relaxed geometry. Source: Alexandria, functional GGA-PBE.

abc: 6.028 6.028 5.087
angles: 90.00 90.00 90.00
Element x y z (fractional)
K (0.000, 0.500, 0.000)
K (0.500, 0.000, 0.000)
Zr (0.000, 0.000, 0.500)
Cr (0.500, 0.500, 0.000)
Au (0.500, 0.500, 0.500)

## Properties
For the electronic total energy, the calculation gives -3.443 eV/atom. The size of the total moment is 1.3 μB per cell. As for the energy relative to the elements: 1.2859 eV/atom.


Crystalline UPdS at its relaxed geometry. Source: Alexandria, functional GGA-PBE.

abc: 8.603 8.603 8.603
angles: 25.92 25.92 25.92
Element x y z (fractional)
U (0.194, 0.194, 0.194)
U (0.806, 0.806, 0.806)
Pd (0.369, 0.369, 0.369)
Pd (0.631, 0.631, 0.631)
S (0.074, 0.074, 0.074)
S (0.926, 0.926, 0.926)

## Properties
For the electronic total energy, the calculation gives -7.296 eV/atom. The value obtained for the energy relative to the elements, uncorrected is -426 meV per atom. The size of the total moment is 0.0 μB per cell.


Crystalline Rb2Na2InSn2 at its relaxed geometry. Source: Alexandria, functional GGA-PBE.

abc: 7.329 7.329 9.071
angles: 120.66 120.66 43.27
Element x y z (fractional)
Rb (0.154, 0.154, 0.287)
Rb (0.846, 0.846, 0.713)
Na (0.357, 0.357, 0.078)
Na (0.643, 0.643, 0.922)
In (0.500, 0.500, 0.500)
Sn (0.119, 0.119, 0.679)
Sn (0.881, 0.881, 0.321)

## Properties
For the electronic total energy, the calculation gives -2.285 eV/atom. The size of the total moment is 0.0 μB per cell. As for the energy relative to the elements: -0.0963 eV/atom.


Crystalline BeReBSb2 at its relaxed geometry. Source: Alexandria, functional GGA-PBE.

abc: 4.849 4.849 3.448
angles: 90.00 90.00 90.00
Element x y z (fractional)
Be (0.000, 0.000, 0.000)
Re (0.500, 0.500, 0.000)
B (0.000, 0.000, 0.500)
Sb (0.000, 0.500, 0.500)
Sb (0.500, 0.000, 0.500)

## Properties
For the electronic total energy, the calculation gives -5.288 eV/atom. The value obtained for the energy relative to the elements, uncorrected is 932 meV per atom. The size of the total moment is 0.3 μB per cell.


Crystalline Na2PmP2O7 at its relaxed geometry. Source: Alexandria, functional GGA-PBE.

abc: 7.655 7.655 7.655
angles: 42.71 42.71 42.71
Element x y z (fractional)
Na (0.217, 0.217, 0.217)
Na (0.783, 0.783, 0.783)
Pm (0.000, 0.000, 0.000)
P (0.423, 0.423, 0.423)
P (0.577, 0.577, 0.577)
O (0.172, 0.343, 0.694)
O (0.306, 0.657, 0.828)
O (0.343, 0.694, 0.172)
O (0.500, 0.500, 0.500)
O (0.657, 0.828, 0.306)
O (0.694, 0.172, 0.343)
O (0.828, 0.306, 0.657)

## Properties
For the electronic total energy, the calculation gives -6.702 eV/atom. The value obtained for the energy relative to the elements, uncorrected is -2293 meV per atom. The size of the total moment is 0.0 μB per cell.


Crystalline LaPrGdAl at its relaxed geometry. Source: Alexandria, functional GGA-PBE.

abc: 5.527 5.527 5.527
angles: 60.00 60.00 60.00
Element x y z (fractional)
La (0.000, 0.000, 0.000)
Pr (0.500, 0.500, 0.500)
Gd (0.750, 0.750, 0.750)
Al (0.250, 0.250, 0.250)

## Properties
For the electronic total energy, the calculation gives -6.964 eV/atom. The size of the total moment is 7.8 μB per cell. As for the energy relative to the elements: -0.0816 eV/atom.


Crystalline Cs2In4Au5 at its relaxed geometry. Source: Alexandria, functional GGA-PBE.

abc: 9.900 8.586 6.970
angles: 78.28 58.13 43.58
Element x y z (fractional)
Cs (0.134, 0.134, 0.866)
Cs (0.866, 0.866, 0.134)
In (0.210, 0.537, 0.463)
In (0.463, 0.790, 0.210)
In (0.537, 0.210, 0.790)
In (0.790, 0.463, 0.537)
Au (0.000, 0.000, 0.500)
Au (0.250, 0.250, 0.250)
Au (0.500, 0.500, 0.000)
Au (0.500, 0.500, 0.500)
Au (0.750, 0.750, 0.750)

## Properties
For the electronic total energy, the calculation gives -2.900 eV/atom. The size of the total moment is 0.0 μB per cell. As for the energy relative to the elements: -0.2592 eV/atom.


Crystalline Ca3InSe4 at its relaxed geometry. Source: Alexandria, functional GGA-PBE.

abc: 5.853 10.095 8.784
angles: 90.00 90.00 90.00
Element x y z (fractional)
Ca (0.250, 0.000, 0.166)
Ca (0.250, 0.250, 0.665)
Ca (0.250, 0.500, 0.166)
Ca (0.750, 0.000, 0.834)
Ca (0.750, 0.500, 0.834)
Ca (0.750, 0.750, 0.335)
In (0.250, 0.750, 0.668)
In (0.750, 0.250, 0.332)
Se (0.250, 0.003, 0.835)
Se (0.250, 0.250, 0.333)
Se (0.250, 0.497, 0.835)
Se (0.250, 0.750, 0.333)
Se (0.750, 0.250, 0.667)
Se (0.750, 0.503, 0.165)
Se (0.750, 0.750, 0.667)
Se (0.750, 0.997, 0.165)

## Properties
For the electronic total energy, the calculation gives -4.338 eV/atom. The value obtained for the energy relative to the elements, uncorrected is -1503 meV per atom. The size of the total moment is 0.0 μB per cell.


Crystalline HfGa3H at its relaxed geometry. Source: Alexandria, functional GGA-PBE.

abc: 5.348 5.348 5.348
angles: 90.00 90.00 90.00
Element x y z (fractional)
Hf (0.000, 0.000, 0.000)
Ga (0.000, 0.000, 0.500)
Ga (0.000, 0.500, 0.000)
Ga (0.500, 0.000, 0.000)
H (0.500, 0.500, 0.500)

## Properties
For the electronic total energy, the calculation gives -3.385 eV/atom. The size of the total moment is 0.7 μB per cell.


Crystalline Sr2HOs2 at its relaxed geometry. Source: Alexandria, functional GGA-PBE.

abc: 9.006 9.006 3.136
angles: 90.00 90.00 90.00
Element x y z (fractional)
Sr (0.197, 0.303, 0.000)
Sr (0.303, 0.803, 0.000)
Sr (0.697, 0.197, 0.000)
Sr (0.803, 0.697, 0.000)
H (0.000, 0.000, 0.500)
H (0.500, 0.500, 0.500)
Os (0.088, 0.588, 0.500)
Os (0.412, 0.088, 0.500)
Os (0.588, 0.912, 0.500)
Os (0.912, 0.412, 0.500)

## Properties
For the electronic total energy, the calculation gives -4.747 eV/atom. The size of the total moment is 1.9 μB per cell.


Crystalline MgTa2Si at its relaxed geometry. Source: Alexandria, functional GGA-PBE.

abc: 3.366 3.366 6.078
angles: 90.00 90.00 90.00
Element x y z (fractional)
Mg (0.000, 0.000, 0.000)
Ta (0.500, 0.500, 0.284)
Ta (0.500, 0.500, 0.716)
Si (0.000, 0.000, 0.500)

## Properties
For the electronic total energy, the calculation gives -7.616 eV/atom. The value obtained for the energy relative to the elements, uncorrected is 65 meV per atom. The size of the total moment is 0.0 μB per cell.


Crystalline Ac2ScUSe6 at its relaxed geometry. Source: Alexandria, functional GGA-PBE.

abc: 7.715 7.715 7.715
angles: 58.11 58.11 58.11
Element x y z (fractional)
Ac (0.000, 0.000, 0.000)
Ac (0.499, 0.499, 0.499)
Sc (0.208, 0.208, 0.208)
U (0.709, 0.709, 0.709)
Se (0.068, 0.860, 0.433)
Se (0.346, 0.556, 0.946)
Se (0.433, 0.068, 0.860)
Se (0.556, 0.946, 0.346)
Se (0.860, 0.433, 0.068)
Se (0.946, 0.346, 0.556)

## Properties
For the electronic total energy, the calculation gives -6.309 eV/atom. The value obtained for the energy relative to the elements, uncorrected is -1635 meV per atom. The size of the total moment is 3.0 μB per cell.